Sr2NiAg2: optimized geometry, PBE.

Summary:
Symmetry: No. 139
Polymorph energy (0 for the lowest one): 21 meV/atom
Formation energy from the elements: 0.04 eV per atom
DFT total energy: -14.65 eV/cell

Geometry as POSCAR:
```
Sr2NiAg2
1.0
-1.928 1.928 9.106
1.928 -1.928 9.106
1.928 1.928 -9.106
Sr Ni Ag
2 1 2
Direct
0.097 0.097 0.000
0.903 0.903 0.000
0.500 0.500 0.000
0.250 0.750 0.500
0.750 0.250 0.500
```

Co4Pb: optimized geometry, PBE.

Summary:
Symmetry: No. 221
Polymorph energy (0 for the lowest one): 1674 meV/atom
Formation energy from the elements: 2.03 eV per atom
DFT total energy: -21.99 eV/cell

Geometry as POSCAR:
```
Co4Pb
1.0
4.727 0.000 0.000
0.000 4.727 0.000
0.000 0.000 4.727
Co Pb
4 1
Direct
0.000 0.000 0.000
0.000 0.500 0.500
0.500 0.000 0.500
0.500 0.500 0.000
0.500 0.500 0.500
```

KCr2Cl6: optimized geometry, PBE.

Summary:
Symmetry: No. 162
DFT total energy: -42.73 eV/cell

Geometry as POSCAR:
```
KCr2Cl6
1.0
6.388 0.000 0.000
-3.194 5.532 0.000
0.000 0.000 6.952
K Cr Cl
1 2 6
Direct
0.000 0.000 0.000
0.333 0.667 0.500
0.667 0.333 0.500
0.000 0.373 0.696
0.000 0.627 0.304
0.373 0.000 0.696
0.373 0.373 0.304
0.627 0.000 0.304
0.627 0.627 0.696
```

Ho3TmTc: optimized geometry, PBE.

Summary:
Symmetry: No. 62
Polymorph energy (0 for the lowest one): 0 meV/atom
Formation energy from the elements: -0.05 eV per atom
DFT total energy: -115.33 eV/cell

Geometry as POSCAR:
```
Ho3TmTc
1.0
10.649 0.000 0.000
0.000 3.666 0.000
0.000 0.000 14.012
Ho Tm Tc
12 4 4
Direct
0.049 0.250 0.095
0.080 0.750 0.318
0.180 0.750 0.744
0.320 0.250 0.244
0.420 0.250 0.818
0.451 0.750 0.595
0.549 0.250 0.405
0.580 0.750 0.182
0.680 0.750 0.756
0.820 0.250 0.256
0.920 0.250 0.682
0.951 0.750 0.905
0.179 0.250 0.511
0.321 0.750 0.011
0.679 0.250 0.989
0.821 0.750 0.489
0.173 0.250 0.905
0.327 0.750 0.405
0.673 0.250 0.595
0.827 0.750 0.095
```

Sr2SiAg: optimized geometry, PBE.

Summary:
Symmetry: No. 119
DFT total energy: -11.83 eV/cell

Geometry as POSCAR:
```
Sr2SiAg
1.0
-2.323 2.323 5.213
2.323 -2.323 5.213
2.323 2.323 -5.213
Sr Si Ag
2 1 1
Direct
0.000 0.000 0.000
0.750 0.250 0.500
0.500 0.500 0.000
0.250 0.750 0.500
```

Cs3LiCl4: optimized geometry, PBE.

Summary:
Symmetry: No. 62
Polymorph energy (0 for the lowest one): 0 meV/atom
DFT total energy: -108.64 eV/cell

Geometry as POSCAR:
```
Cs3LiCl4
1.0
9.694 0.000 0.000
0.000 11.714 0.000
0.000 0.000 10.144
Cs Li Cl
12 4 16
Direct
0.040 0.046 0.205
0.040 0.454 0.205
0.128 0.750 0.422
0.372 0.250 0.922
0.460 0.546 0.705
0.460 0.954 0.705
0.540 0.046 0.295
0.540 0.454 0.295
0.628 0.750 0.078
0.872 0.250 0.578
0.960 0.546 0.795
0.960 0.954 0.795
0.220 0.750 0.983
0.280 0.250 0.483
0.720 0.750 0.517
0.780 0.250 0.017
0.006 0.250 0.918
0.175 0.072 0.538
0.175 0.428 0.538
0.205 0.750 0.747
0.295 0.250 0.247
0.325 0.572 0.038
0.325 0.928 0.038
0.494 0.750 0.418
0.506 0.250 0.582
0.675 0.072 0.962
0.675 0.428 0.962
0.705 0.750 0.753
0.795 0.250 0.253
0.825 0.572 0.462
0.825 0.928 0.462
0.994 0.750 0.082
```

La2Zn4In3Ag: optimized geometry, PBE.

Summary:
Symmetry: No. 115
Formation energy from the elements: -0.34 eV per atom
DFT total energy: -29.38 eV/cell

Geometry as POSCAR:
```
La2Zn4In3Ag
1.0
4.524 0.000 0.000
0.000 4.524 0.000
0.000 0.000 11.183
La Zn In Ag
2 4 3 1
Direct
0.000 0.500 0.248
0.500 0.000 0.752
0.000 0.000 0.000
0.000 0.500 0.631
0.500 0.000 0.369
0.500 0.500 0.000
0.000 0.500 0.864
0.500 0.000 0.136
0.500 0.500 0.500
0.000 0.000 0.500
```

As3RhS: optimized geometry, PBE.

Summary:
Symmetry: No. 221
Polymorph energy (0 for the lowest one): 0 meV/atom
DFT total energy: -22.25 eV/cell

Geometry as POSCAR:
```
As3RhS
1.0
4.797 0.000 0.000
0.000 4.797 0.000
0.000 0.000 4.797
As Rh S
3 1 1
Direct
0.000 0.000 0.500
0.000 0.500 0.000
0.500 0.000 0.000
0.000 0.000 0.000
0.500 0.500 0.500
```

Cu2IrPt: optimized geometry, PBE.

Summary:
Symmetry: No. 8
Polymorph energy (0 for the lowest one): 88 meV/atom
Formation energy from the elements: 0.05 eV per atom
DFT total energy: -22.91 eV/cell

Geometry as POSCAR:
```
Cu2IrPt
1.0
4.467 -1.355 0.000
4.467 1.355 0.000
-0.812 0.000 4.547
Cu Ir Pt
2 1 1
Direct
0.000 0.000 0.000
0.249 0.249 0.774
0.748 0.748 0.268
0.496 0.496 0.502
```

NaLi5Cl6: optimized geometry, PBE.

Summary:
Symmetry: No. 12
DFT total energy: -43.51 eV/cell

Geometry as POSCAR:
```
NaLi5Cl6
1.0
3.217 -5.584 0.000
3.217 5.584 0.000
-2.138 0.000 6.060
Na Li Cl
1 5 6
Direct
0.000 0.000 0.000
0.168 0.832 0.500
0.332 0.668 0.000
0.500 0.500 0.500
0.668 0.332 0.000
0.832 0.168 0.500
0.086 0.434 0.254
0.259 0.259 0.737
0.434 0.086 0.254
0.566 0.914 0.746
0.741 0.741 0.263
0.914 0.566 0.746
```

Mg7TiAl6Si8H8O38: optimized geometry, PBE.

Summary:
Symmetry: No. 143
DFT total energy: -472.90 eV/cell

Geometry as POSCAR:
```
Mg7TiAl6Si8H8O38
1.0
12.279 0.000 0.000
-6.140 10.634 0.000
0.000 0.000 5.074
Mg Ti Al Si H O
7 1 6 8 8 38
Direct
0.000 0.000 0.000
0.087 0.662 0.194
0.338 0.425 0.194
0.425 0.087 0.696
0.575 0.913 0.194
0.662 0.575 0.696
0.913 0.338 0.696
0.000 0.000 0.499
0.069 0.419 0.200
0.349 0.931 0.200
0.419 0.349 0.702
0.581 0.651 0.200
0.651 0.070 0.702
0.930 0.581 0.702
0.147 0.304 0.713
0.157 0.853 0.713
0.304 0.158 0.220
0.333 0.667 0.407
0.667 0.333 0.912
0.696 0.843 0.713
0.842 0.146 0.220
0.854 0.696 0.220
0.124 0.556 0.778
0.333 0.667 0.914
0.432 0.876 0.778
0.444 0.568 0.778
0.557 0.432 0.279
0.568 0.125 0.279
0.667 0.333 0.419
0.875 0.443 0.279
0.047 0.522 0.881
0.064 0.344 0.523
0.071 0.148 0.738
0.073 0.717 0.565
0.078 0.929 0.738
0.149 0.078 0.267
0.174 0.379 0.000
0.192 0.580 0.292
0.205 0.826 0.000
0.280 0.936 0.523
0.283 0.356 0.565
0.333 0.667 0.725
0.341 0.278 0.024
0.355 0.073 0.066
0.382 0.207 0.503
0.388 0.808 0.292
0.420 0.612 0.292
0.476 0.953 0.881
0.478 0.524 0.881
0.523 0.476 0.381
0.524 0.047 0.381
0.580 0.388 0.797
0.612 0.192 0.797
0.621 0.795 0.000
0.644 0.927 0.565
0.656 0.720 0.523
0.667 0.333 0.229
0.719 0.645 0.066
0.722 0.063 0.024
0.793 0.175 0.503
0.808 0.420 0.797
0.825 0.618 0.503
0.852 0.922 0.738
0.922 0.071 0.267
0.927 0.281 0.066
0.929 0.851 0.267
0.937 0.659 0.024
0.953 0.477 0.381
```

Te4HAu2: optimized geometry, PBE.

Summary:
Symmetry: No. 139
Polymorph energy (0 for the lowest one): 193 meV/atom
DFT total energy: -20.73 eV/cell

Geometry as POSCAR:
```
Te4HAu2
1.0
-2.293 2.293 9.172
2.293 -2.293 9.172
2.293 2.293 -9.172
Te H Au
4 1 2
Direct
0.000 0.500 0.500
0.247 0.247 0.000
0.500 0.000 0.500
0.753 0.753 0.000
0.500 0.500 0.000
0.103 0.103 0.000
0.897 0.897 0.000
```

no.,magnetic moment (μB/f.u.),DOS at the Fermi energy (states/eV/cell)
1,0.000,2.7
2,6.444,11.1
3,7.000,7.4
4,0.000,18.3
5,0.000,2.4
6,0.081,0.0
7,0.000,5.8
8,0.000,4.9
9,0.000,4.5
10,0.000,0.0
11,0.000,0.0
12,0.000,3.5